{
  "formula": "CuPd6Au2",
  "functional": "PBE-GGA",
  "state": "relaxed",
  "cell": [[6.105, -3.424, 0.000], [6.105, 3.424, 0.000], [-0.870, 0.000, 7.059]],
  "species": ["Cu", "Cu", "Pd", "Pd", "Pd", "Pd", "Pd", "Pd", "Pd", "Pd", "Pd", "Pd", "Pd", "Pd", "Au", "Au", "Au", "Au"],
  "fractional_positions": [[0.118, 0.882, 0.750], [0.882, 0.118, 0.250], [0.083, 0.643, 0.981], [0.110, 0.727, 0.375], [0.273, 0.890, 0.125], [0.345, 0.448, 0.668], [0.357, 0.917, 0.519], [0.448, 0.345, 0.168], [0.552, 0.655, 0.832], [0.643, 0.083, 0.481], [0.655, 0.552, 0.332], [0.727, 0.110, 0.875], [0.890, 0.273, 0.625], [0.917, 0.357, 0.019], [0.143, 0.315, 0.362], [0.315, 0.143, 0.862], [0.685, 0.857, 0.138], [0.857, 0.685, 0.638]],
  "magnetic_moment_mub_per_cell": 0.0,
  "de_polymorph_mev_per_atom": 153
}